A plane-wave DFT calculation with PBE was carried out for a relaxed Na2Pr3SmTe6 crystal.

a b c (Å): 7.821 7.821 7.870
angles (deg): 99.51 99.51 119.97
Positions (direct):
Na 0.334 0.666 0.000
Na 0.666 0.334 0.000
Pr 0.169 0.831 0.500
Pr 0.831 0.169 0.500
Pr 0.500 0.500 0.500
Sm 0.000 0.000 0.000
Te 0.919 0.588 0.756
Te 0.753 0.753 0.248
Te 0.081 0.412 0.244
Te 0.588 0.919 0.756
Te 0.247 0.247 0.752
Te 0.412 0.081 0.244

crystal system = monoclinic
calculated volume = 32.8 Å³/atom
DOS at the Fermi energy = 3.871 states/eV per cell
uncorrected formation energy = -1.37 eV/atom

***

A plane-wave DFT calculation with PBE was carried out for a relaxed NaPr4Sm3Te8 crystal.

a b c (Å): 8.984 9.001 8.984
angles (deg): 119.94 120.00 90.00
Positions (direct):
Na 0.000 0.500 0.000
Pr 0.500 0.000 0.000
Pr 0.500 0.000 0.500
Pr 0.000 0.000 0.000
Pr 0.000 0.000 0.500
Sm 0.500 0.500 0.000
Sm 0.500 0.500 0.500
Sm 0.000 0.500 0.500
Te 0.246 0.742 0.995
Te 0.246 0.742 0.493
Te 0.252 0.257 0.505
Te 0.749 0.742 0.995
Te 0.251 0.258 0.005
Te 0.748 0.743 0.495
Te 0.754 0.258 0.507
Te 0.754 0.258 0.005

crystal system = trigonal
calculated volume = 32.1 Å³/atom
DOS at the Fermi energy = 8.026 states/eV per cell
uncorrected formation energy = -1.40 eV/atom

***

A plane-wave DFT calculation with PBE was carried out for a relaxed NaPr3Sm2Te6 crystal.

a b c (Å): 4.490 9.033 10.072
angles (deg): 102.97 102.88 90.00
Positions (direct):
Na 0.500 0.000 0.000
Pr 0.500 0.500 0.000
Pr 0.836 0.173 0.672
Pr 0.164 0.827 0.328
Sm 0.832 0.660 0.664
Sm 0.168 0.340 0.336
Te 0.334 0.913 0.667
Te 0.667 0.580 0.334
Te 0.666 0.087 0.333
Te 0.003 0.246 0.007
Te 0.997 0.754 0.993
Te 0.333 0.420 0.666

crystal system = monoclinic
calculated volume = 32.3 Å³/atom
DOS at the Fermi energy = 4.731 states/eV per cell
uncorrected formation energy = -1.40 eV/atom

***

A plane-wave DFT calculation with PBE was carried out for a relaxed NaPrSm2Tl4 crystal.

a b c (Å): 5.415 5.415 9.599
angles (deg): 73.62 73.62 60.00
Positions (direct):
Na 0.500 0.500 0.500
Pr 0.000 0.000 0.000
Sm 0.755 0.755 0.734
Sm 0.245 0.245 0.266
Tl 0.376 0.376 0.872
Tl 0.874 0.874 0.377
Tl 0.126 0.126 0.623
Tl 0.624 0.624 0.128

crystal system = trigonal
calculated volume = 28.8 Å³/atom
ΔE_f = -0.32 eV/atom
DOS at the Fermi energy = 5.063 states/eV per cell

***

A plane-wave DFT calculation with PBE was carried out for a relaxed NaPrSmTl crystal.

a b c (Å): 5.551 5.551 5.551
angles (deg): 60.00 60.00 60.00
Positions (direct):
Pr 0.750 0.750 0.750
Na 0.000 0.000 0.000
Tl 0.500 0.500 0.500
Sm 0.250 0.250 0.250

crystal system = cubic
calculated volume = 30.2 Å³/atom
ΔE_f = -0.09 eV/atom
DOS at the Fermi energy = 5.479 states/eV per cell

***

A plane-wave DFT calculation with PBE was carried out for a relaxed NaPrSn6 crystal.

a b c (Å): 4.727 4.727 9.660
angles (deg): 90.00 90.00 90.00
Positions (direct):
Na 0.000 0.000 0.500
Pr 0.000 0.000 0.000
Sn 0.500 0.500 0.000
Sn 0.500 0.500 0.500
Sn 0.500 0.000 0.257
Sn 0.500 0.000 0.743
Sn 0.000 0.500 0.257
Sn 0.000 0.500 0.743

crystal system = tetragonal
calculated volume = 27.0 Å³/atom
ΔE_f = -0.31 eV/atom
DOS at the Fermi energy = 2.952 states/eV per cell

***

A plane-wave DFT calculation with PBE was carried out for a relaxed NaPrSn4 crystal.

a b c (Å): 4.776 6.561 11.698
angles (deg): 90.00 101.78 90.00
Positions (direct):
Na 0.729 0.250 0.458
Na 0.271 0.750 0.542
Pr 0.435 0.250 0.871
Pr 0.565 0.750 0.129
Sn 0.000 0.000 0.000
Sn 0.000 0.500 0.000
Sn 0.147 0.999 0.293
Sn 0.853 0.499 0.707
Sn 0.147 0.501 0.293
Sn 0.853 0.001 0.707
Sn 0.584 0.250 0.167
Sn 0.416 0.750 0.833

crystal system = orthorhombic
calculated volume = 29.9 Å³/atom
ΔE_f = -0.36 eV/atom
DOS at the Fermi energy = 4.545 states/eV per cell
E above lowest polymorph = 0.000 eV per atom

***

A plane-wave DFT calculation with PBE was carried out for a relaxed NaPrSn2 crystal.

a b c (Å): 4.655 4.849 4.849
angles (deg): 90.00 90.00 90.00
Positions (direct):
Pr 0.500 0.500 0.500
Na 0.500 0.000 0.000
Sn 0.000 0.000 0.500
Sn 0.000 0.500 0.000

crystal system = tetragonal
calculated volume = 27.4 Å³/atom
ΔE_f = -0.50 eV/atom
DOS at the Fermi energy = 1.106 states/eV per cell

***

A plane-wave DFT calculation with PBE was carried out for a relaxed NaPr5Sn3 crystal.

a b c (Å): 6.685 9.761 9.761
angles (deg): 120.00 90.00 90.00
Positions (direct):
Na 0.000 0.000 0.000
Na 0.500 0.000 0.000
Pr 0.000 0.667 0.333
Pr 0.500 0.333 0.667
Pr 0.000 0.333 0.667
Pr 0.500 0.667 0.333
Pr 0.750 0.684 0.684
Pr 0.750 0.000 0.316
Pr 0.750 0.316 0.000
Pr 0.250 0.316 0.316
Pr 0.250 0.000 0.684
Pr 0.250 0.684 0.000
Sn 0.750 0.348 0.347
Sn 0.750 0.000 0.653
Sn 0.750 0.652 0.000
Sn 0.250 0.652 0.653
Sn 0.250 0.000 0.347
Sn 0.250 0.348 0.000

crystal system = hexagonal
calculated volume = 30.6 Å³/atom
ΔE_f = -0.58 eV/atom
DOS at the Fermi energy = 16.520 states/eV per cell

***

A plane-wave DFT calculation with PBE was carried out for a relaxed NaPrSn2 crystal.

a b c (Å): 3.448 3.448 9.588
angles (deg): 90.00 90.00 90.00
Positions (direct):
Pr 0.500 0.500 0.500
Na 0.500 0.500 0.000
Sn 0.000 0.000 0.749
Sn 0.000 0.000 0.251

crystal system = tetragonal
calculated volume = 28.5 Å³/atom
ΔE_f = -0.40 eV/atom
DOS at the Fermi energy = 2.062 states/eV per cell

***

A plane-wave DFT calculation with PBE was carried out for a relaxed NaPrSn4 crystal.

a b c (Å): 6.245 6.245 6.245
angles (deg): 60.00 60.00 60.00
Positions (direct):
Pr 0.000 0.000 0.000
Na 0.250 0.250 0.250
Sn 0.625 0.625 0.125
Sn 0.625 0.125 0.625
Sn 0.625 0.625 0.625
Sn 0.125 0.625 0.625

crystal system = cubic
calculated volume = 28.7 Å³/atom
ΔE_f = -0.31 eV/atom
E above lowest polymorph = 0.051 eV per atom

***

A plane-wave DFT calculation with PBE was carried out for a relaxed Na2PrSn9 crystal.

a b c (Å): 4.703 4.703 14.583
angles (deg): 90.00 90.00 90.00
Positions (direct):
Na 0.000 0.000 0.334
Na 0.000 0.000 0.666
Pr 0.000 0.000 0.000
Sn 0.500 0.500 0.000
Sn 0.500 0.500 0.337
Sn 0.500 0.500 0.663
Sn 0.500 0.000 0.171
Sn 0.500 0.000 0.500
Sn 0.500 0.000 0.829
Sn 0.000 0.500 0.171
Sn 0.000 0.500 0.500
Sn 0.000 0.500 0.829

crystal system = tetragonal
calculated volume = 26.9 Å³/atom
ΔE_f = -0.24 eV/atom
DOS at the Fermi energy = 4.709 states/eV per cell

***

A plane-wave DFT calculation with PBE was carried out for a relaxed Na2PrSn crystal.

a b c (Å): 3.425 3.425 12.744
angles (deg): 82.28 82.28 60.00
Positions (direct):
Pr 0.000 0.000 0.000
Na 0.093 0.093 0.721
Na 0.907 0.907 0.279
Sn 0.500 0.500 0.500

crystal system = trigonal
calculated volume = 32.0 Å³/atom
ΔE_f = 0.12 eV/atom
DOS at the Fermi energy = 5.240 states/eV per cell

***

A plane-wave DFT calculation with PBE was carried out for a relaxed NaTbPrSn crystal.

a b c (Å): 5.440 5.440 5.440
angles (deg): 60.00 60.00 60.00
Positions (direct):
Pr 0.500 0.500 0.500
Na 0.750 0.750 0.750
Tb 0.000 0.000 0.000
Sn 0.250 0.250 0.250

crystal system = cubic
calculated volume = 28.5 Å³/atom
ΔE_f = -0.31 eV/atom
DOS at the Fermi energy = 3.271 states/eV per cell

***

A plane-wave DFT calculation with PBE was carried out for a relaxed NaPr2SnTe4 crystal.

a b c (Å): 4.487 8.064 7.771
angles (deg): 71.43 90.00 90.00
Positions (direct):
Na 0.000 0.500 0.500
Pr 0.000 0.000 0.000
Pr 0.500 0.000 0.500
Sn 0.500 0.500 0.000
Te 0.000 0.745 0.752
Te 0.000 0.255 0.248
Te 0.500 0.750 0.248
Te 0.500 0.250 0.752

crystal system = monoclinic
calculated volume = 33.3 Å³/atom
DOS at the Fermi energy = 3.234 states/eV per cell
uncorrected formation energy = -1.06 eV/atom

***

A plane-wave DFT calculation with PBE was carried out for a relaxed NaPrTlSn crystal.

a b c (Å): 5.447 5.447 5.447
angles (deg): 60.00 60.00 60.00
Positions (direct):
Pr 0.500 0.500 0.500
Na 0.000 0.000 0.000
Tl 0.750 0.750 0.750
Sn 0.250 0.250 0.250

crystal system = cubic
calculated volume = 28.6 Å³/atom
ΔE_f = -0.34 eV/atom
DOS at the Fermi energy = 2.147 states/eV per cell
E above lowest polymorph = 0.052 eV per atom

***

A plane-wave DFT calculation with PBE was carried out for a relaxed NaPrTlSn crystal.

a b c (Å): 4.436 4.902 5.211
angles (deg): 90.00 90.00 90.00
Positions (direct):
Na 0.500 0.000 0.500
Pr 0.500 0.500 0.000
Tl 0.000 0.500 0.500
Sn 0.000 0.000 0.000

crystal system = orthorhombic
calculated volume = 28.3 Å³/atom
ΔE_f = -0.39 eV/atom
DOS at the Fermi energy = 2.444 states/eV per cell
E above lowest polymorph = 0.000 eV per atom

***

A plane-wave DFT calculation with PBE was carried out for a relaxed NaPrTmSn crystal.

a b c (Å): 5.401 5.401 5.401
angles (deg): 60.00 60.00 60.00
Positions (direct):
Pr 0.500 0.500 0.500
Na 0.750 0.750 0.750
Tm 0.000 0.000 0.000
Sn 0.250 0.250 0.250

crystal system = cubic
calculated volume = 27.9 Å³/atom
ΔE_f = -0.27 eV/atom
DOS at the Fermi energy = 3.438 states/eV per cell

***

A plane-wave DFT calculation with PBE was carried out for a relaxed NaPrYSn crystal.

a b c (Å): 5.437 5.437 5.437
angles (deg): 60.00 60.00 60.00
Positions (direct):
Pr 0.250 0.250 0.250
Y 0.750 0.750 0.750
Sn 0.000 0.000 0.000
Na 0.500 0.500 0.500

crystal system = cubic
calculated volume = 28.4 Å³/atom
ΔE_f = -0.32 eV/atom
DOS at the Fermi energy = 3.423 states/eV per cell

***

A plane-wave DFT calculation with PBE was carried out for a relaxed NaPrZnSn crystal.

a b c (Å): 5.290 5.290 5.290
angles (deg): 60.00 60.00 60.00
Positions (direct):
Pr 0.000 0.000 0.000
Na 0.500 0.500 0.500
Zn 0.750 0.750 0.750
Sn 0.250 0.250 0.250

crystal system = cubic
calculated volume = 26.2 Å³/atom
ΔE_f = -0.33 eV/atom
DOS at the Fermi energy = 1.450 states/eV per cell